The following is a GGA-PBE calculation of crystalline AsAuN at its relaxed geometry, from the Alexandria database.

The calculated volume is 105.5 Å³ per cell. The total magnetization comes out at 0.00 μB per cell. As for the uncorrected formation energy: 0.45 eV per atom. As for the density of states at the Fermi level: 1.672 states/eV/cell.

The structure belongs to space group P-1 (No. 2); the cell edges are 4.214, 4.726 and 5.631 Å and the angles 106.73°, 98.06° and 94.34°. The distinct sites, in fractional coordinates, are As at (0.220, 0.377, 0.241), Au at (0.286, 0.204, 0.620) and N at (0.398, 0.084, 0.979).